[1]
Material: KRh2
Method: DFT, GGA-PBEsol
State: relaxed

Summary:
VASP energy: -0.381 Ry per atom
calculated formation energy: 616 meV per atom

Unit cell a=6.359 b=6.359 c=6.359 alpha=150.00 beta=150.00 gamma=42.94
Positions (direct):
K1 0.000 0.000 0.000
Rh1 0.284 0.284 0.000
Rh2 0.716 0.716 0.000


[2]
Material: KRh4
Method: DFT, GGA-PBEsol
State: relaxed

Summary:
VASP energy: -0.448 Ry per atom
calculated formation energy: 648 meV per atom

Unit cell a=6.047 b=6.047 c=6.047 alpha=140.33 beta=140.33 gamma=57.35
Positions (direct):
K1 0.000 0.000 0.000
Rh1 0.250 0.750 0.500
Rh2 0.390 0.390 0.000
Rh3 0.610 0.610 0.000
Rh4 0.750 0.250 0.500